# 1
{
  "formula": "SiTe2AsN",
  "functional": "PBE",
  "state": "relaxed",
  "cell": [[-1.504, -5.430, 0.914], [0.097, -0.619, -3.518], [5.504, -1.456, 0.408]],
  "species": ["As", "Te", "Te", "Si", "N"],
  "fractional_positions": [[0.000, 0.000, 0.000], [0.000, 0.000, 0.500], [0.500, 0.000, 0.000], [0.500, 0.500, 0.500], [0.000, 0.500, 0.000]],
  "vol_a3_per_cell": 116.4,
  "total_energy_ev_per_atom": -3.966,
  "sg": "P4/mmm, No. 123",
  "raw_formation_energy_ev_per_atom": 0.97
}

---

# 2
{
  "formula": "Ba8CuRh2",
  "functional": "PBE",
  "state": "relaxed",
  "cell": [[-2.524, 4.902, 5.016], [-5.707, -6.592, 3.579], [8.737, 1.036, 3.370]],
  "species": ["Rh", "Rh", "Ba", "Ba", "Ba", "Ba", "Ba", "Ba", "Ba", "Ba", "Cu"],
  "fractional_positions": [[0.107, 0.333, 0.667], [0.893, 0.667, 0.333], [0.277, 0.667, 0.332], [0.723, 0.333, 0.668], [0.759, 0.834, 0.167], [0.242, 0.168, 0.334], [0.241, 0.666, 0.832], [0.241, 0.166, 0.833], [0.758, 0.832, 0.666], [0.759, 0.334, 0.168], [0.000, 0.000, 0.000]],
  "vol_a3_per_cell": 572.3,
  "total_energy_ev_per_atom": -3.068,
  "sg": "C2/m, No. 12",
  "formation_energy_ev_per_atom": 0.04
}